# 1
! PBE-GGA BC, relaxed; values from VASP
&SYSTEM
  ibrav = 0, nat = 12, ntyp = 2
/
ATOMIC_SPECIES
B 10.81 B.upf
C 12.01 C.upf
ATOMIC_POSITIONS angstrom
B 0.0000 0.0000 0.0000
B 0.0517 0.0000 4.4640
B 1.0525 1.3305 2.6037
B 1.7225 0.0000 0.2436
B 2.9708 0.0000 2.6947
B 3.8983 1.3305 1.7961
C 0.8665 1.3305 4.2181
C 1.4508 0.0000 1.8383
C 2.2240 1.3305 6.3359
C 2.3008 1.3305 4.8097
C 3.0450 0.0000 4.2972
C 3.8632 1.3305 0.2363
CELL_PARAMETERS angstrom
4.5941 0.0000 0.0000
0.0000 2.6610 0.0000
-0.2350 0.0000 6.7166
! Fermi-level density of states	0.3	states/eV/f.u.
! polymorph energy (0 for the lowest one)	21.60	kJ/mol of atoms
! total DFT energy (no corrections)	-7.5760	eV/atom
! space group	No. 6
! mass density	2769	kg/m3
! E_form	0.37	eV/atom

# 2
! PBE-GGA B7C5, relaxed; values from VASP
&SYSTEM
  ibrav = 0, nat = 12, ntyp = 2
/
ATOMIC_SPECIES
B 10.81 B.upf
C 12.01 C.upf
ATOMIC_POSITIONS angstrom
B 0.0000 0.0000 0.0000
B 0.3125 0.8955 2.4277
B 1.0860 2.9897 4.9842
B 1.0101 2.4445 2.4456
B 2.6731 2.9665 0.7104
B 3.5760 4.6679 4.4518
B 3.0483 1.7916 3.8524
C 1.9559 2.9489 3.6363
C 1.6818 1.6571 1.0959
C 2.7575 4.1240 3.1403
C 3.5030 3.6706 1.9110
C 2.6297 0.4335 1.3460
CELL_PARAMETERS angstrom
3.3866 0.0000 0.0000
1.6261 4.4087 0.0000
0.3304 1.2145 5.2949
! Fermi-level density of states	2.3	states/eV/f.u.
! polymorph energy (0 for the lowest one)	21.67	kJ/mol of atoms
! total DFT energy (no corrections)	-7.3494	eV/atom
! space group	No. 1
! mass density	2851	kg/m3
! E_form	0.39	eV/atom

# 3
! PBE-GGA B3C, relaxed; values from VASP
&SYSTEM
  ibrav = 0, nat = 12, ntyp = 2
/
ATOMIC_SPECIES
B 10.81 B.upf
C 12.01 C.upf
ATOMIC_POSITIONS angstrom
B 0.0000 0.0000 0.0000
B 0.0000 0.0000 3.3854
B 0.0000 0.0000 8.3495
B 0.0000 1.3553 7.1932
B 0.0000 1.3553 11.2769
B 1.3188 0.0000 4.7784
B 1.3188 0.0000 9.7027
B 1.3188 1.3553 1.6121
B 1.3188 1.3553 5.8968
C 0.0000 1.3553 2.6642
C 1.3188 0.0000 0.7151
C 1.3188 1.3553 10.5394
CELL_PARAMETERS angstrom
2.6375 0.0000 0.0000
0.0000 2.7105 0.0000
0.0000 0.0000 12.7732
! Fermi-level density of states	0.7	states/eV/f.u.
! polymorph energy (0 for the lowest one)	27.09	kJ/mol of atoms
! total DFT energy (no corrections)	-6.7927	eV/atom
! space group	No. 25
! mass density	2425	kg/m3
! E_form	0.52	eV/atom

# 4
! PBE-GGA B7C5, relaxed; values from VASP
&SYSTEM
  ibrav = 0, nat = 12, ntyp = 2
/
ATOMIC_SPECIES
B 10.81 B.upf
C 12.01 C.upf
ATOMIC_POSITIONS angstrom
B 0.0000 0.0000 0.0000
B -0.7688 1.3436 4.3268
B 0.9726 1.3436 2.5767
B 1.4257 0.0000 1.6415
B 0.6638 1.3436 8.0097
B 2.9665 0.0000 2.5975
B 3.9648 1.3436 1.7274
C 1.5421 0.0000 0.0573
C 0.8395 1.3436 4.2528
C 1.5725 0.0000 4.4140
C 3.8437 1.3436 0.1433
C 3.0370 0.0000 4.2707
CELL_PARAMETERS angstrom
4.6078 0.0000 0.0000
0.0000 2.6872 0.0000
-1.6479 0.0000 8.0280
! Fermi-level density of states	1.1	states/eV/f.u.
! polymorph energy (0 for the lowest one)	15.28	kJ/mol of atoms
! total DFT energy (no corrections)	-7.4156	eV/atom
! space group	No. 6
! mass density	2267	kg/m3
! E_form	0.32	eV/atom

# 5
! PBE-GGA BC, relaxed; values from VASP
&SYSTEM
  ibrav = 0, nat = 12, ntyp = 2
/
ATOMIC_SPECIES
B 10.81 B.upf
C 12.01 C.upf
ATOMIC_POSITIONS angstrom
B -0.5630 0.0000 2.1570
B 1.2756 0.0000 2.6750
B 2.7258 0.0000 1.2204
B 2.1517 0.0000 5.9845
B 3.6019 0.0000 4.5299
B 5.4404 0.0000 5.0479
C -0.9393 0.0000 3.7227
C 1.0133 0.0000 1.0599
C -0.0406 0.0000 6.9721
C 4.9181 0.0000 0.2327
C 3.8642 0.0000 6.1450
C 5.8168 0.0000 3.4822
CELL_PARAMETERS angstrom
4.1704 -1.2865 0.0000
4.1704 1.2865 0.0000
-3.4634 0.0000 7.2049
! Fermi-level density of states	0.2	states/eV/f.u.
! polymorph energy (0 for the lowest one)	21.19	kJ/mol of atoms
! total DFT energy (no corrections)	-7.5803	eV/atom
! space group	No. 12
! mass density	2941	kg/m3
! E_form	0.37	eV/atom

# 6
! PBE-GGA BC11, relaxed; values from VASP
&SYSTEM
  ibrav = 0, nat = 12, ntyp = 2
/
ATOMIC_SPECIES
B 10.81 B.upf
C 12.01 C.upf
ATOMIC_POSITIONS angstrom
B 0.0000 0.0000 0.0000
C 0.5769 0.0000 1.4826
C 0.0153 0.0000 3.9005
C 3.4807 0.0000 0.8178
C 2.9183 0.0000 3.2962
C 3.4168 0.0000 4.7327
C 4.1111 0.0000 2.2706
C 7.0431 0.0000 1.6628
C 6.4830 0.0000 4.1112
C 8.2020 0.0000 0.6211
C 7.6547 0.0000 3.0888
C 10.5993 0.0000 2.4739
CELL_PARAMETERS angstrom
5.6063 -1.2638 0.0000
5.6063 1.2638 0.0000
-1.1649 0.0000 4.9631
! Fermi-level density of states	2.3	states/eV/f.u.
! polymorph energy (0 for the lowest one)	2.18	kJ/mol of atoms
! total DFT energy (no corrections)	-8.8070	eV/atom
! space group	No. 8
! mass density	3375	kg/m3
! E_form	0.20	eV/atom

# 7
! PBE-GGA BC, relaxed; values from VASP
&SYSTEM
  ibrav = 0, nat = 12, ntyp = 2
/
ATOMIC_SPECIES
B 10.81 B.upf
C 12.01 C.upf
ATOMIC_POSITIONS angstrom
B 0.0000 0.0000 0.0000
B -0.6331 0.0000 4.7722
B 0.0851 1.3001 3.8389
B 1.0953 0.0000 1.7043
B 0.6818 0.0000 6.3386
B 2.1461 1.3001 4.5355
C 0.2637 1.3001 2.3341
C 1.5929 1.3001 6.0373
C 2.6968 0.0000 2.2880
C 2.5443 0.0000 3.8102
C 3.4887 1.3001 1.8283
C 3.7336 1.3001 0.3321
CELL_PARAMETERS angstrom
4.7011 0.0000 0.0000
0.0000 2.6003 0.0000
-0.9513 0.0000 6.5837
! Fermi-level density of states	0.2	states/eV/f.u.
! polymorph energy (0 for the lowest one)	21.85	kJ/mol of atoms
! total DFT energy (no corrections)	-7.5734	eV/atom
! space group	No. 6
! mass density	2825	kg/m3
! E_form	0.38	eV/atom

# 8
! PBE-GGA BC, relaxed; values from VASP
&SYSTEM
  ibrav = 0, nat = 12, ntyp = 2
/
ATOMIC_SPECIES
B 10.81 B.upf
C 12.01 C.upf
ATOMIC_POSITIONS angstrom
B -0.5531 0.0000 1.5315
B 0.8972 0.0000 0.1503
B -0.9850 0.0000 6.1603
B 5.9388 0.0000 1.0282
B 4.0566 0.0000 7.0382
B 5.5069 0.0000 5.6569
C -0.5335 0.0000 4.5522
C 0.9814 0.0000 4.7814
C 1.7302 0.0000 3.4427
C 3.2235 0.0000 3.7458
C 3.9724 0.0000 2.4071
C 5.4872 0.0000 2.6363
CELL_PARAMETERS angstrom
4.1476 -1.2837 0.0000
4.1476 1.2837 0.0000
-3.3415 0.0000 7.1885
! Fermi-level density of states	0.3	states/eV/f.u.
! polymorph energy (0 for the lowest one)	14.18	kJ/mol of atoms
! total DFT energy (no corrections)	-7.6529	eV/atom
! space group	No. 12
! mass density	2970	kg/m3
! E_form	0.30	eV/atom

no.,spin magnetization (Bohr magnetons per cell)
1,0.00
2,0.00
3,0.00
4,0.00
5,0.00
6,0.00
7,0.00
8,0.00